Density functional theory data (PBE) for an optimized crystal structure of Pm6Nd5.

Its volume is 387.7 Å³/cell. As for the density: 6.81 g cm⁻³. The value obtained for the formation enthalpy at 0 K is 0.105 eV per atom. The space-group type is Immm (71). As for the density of states at the Fermi level: 16.3 states/eV/f.u.

```
data_Pm6Nd5
_cell_length_a 9.559
_cell_length_b 9.559
_cell_length_c 9.559
_cell_angle_alpha 145.17
_cell_angle_beta 128.15
_cell_angle_gamma 63.99
_symmetry_space_group_name_H-M 'P 1'
_symmetry_Int_Tables_number 1
_symmetry_space_group_name_Hall 'P 1'
loop_
_atom_site_label
_atom_site_type_symbol
_atom_site_fract_x
_atom_site_fract_y
_atom_site_fract_z
Pm1 Pm 0.068 0.863 0.205
Pm2 Pm 0.206 0.500 0.706
Pm3 Pm 0.342 0.137 0.205
Pm4 Pm 0.658 0.863 0.795
Pm5 Pm 0.794 0.500 0.294
Pm6 Pm 0.932 0.137 0.795
Nd1 Nd 0.200 0.700 0.500
Nd2 Nd 0.340 0.340 0.000
Nd3 Nd 0.500 0.000 0.500
Nd4 Nd 0.660 0.660 0.000
Nd5 Nd 0.800 0.300 0.500
```

***

Density functional theory data (PBE) for an optimized crystal structure of BS2N.

Its volume is 49.3 Å³/cell. Its formation energy without anion corrections is 986.2 meV/atom. As for the density: 3.00 g cm⁻³. The space-group type is R-3m (166). As for the density of states at the Fermi level: 1.0 states/eV/f.u.

```
data_BS2N
_cell_length_a 5.650
_cell_length_b 5.650
_cell_length_c 5.650
_cell_angle_alpha 33.64
_cell_angle_beta 33.64
_cell_angle_gamma 33.64
_symmetry_space_group_name_H-M 'P 1'
_symmetry_Int_Tables_number 1
_symmetry_space_group_name_Hall 'P 1'
loop_
_atom_site_label
_atom_site_type_symbol
_atom_site_fract_x
_atom_site_fract_y
_atom_site_fract_z
B1 B 0.000 0.000 0.000
S1 S 0.402 0.402 0.402
S2 S 0.598 0.598 0.598
N1 N 0.500 0.500 0.500
```

***

Density functional theory data (PBE) for an optimized crystal structure of Dy3PuO8.

Its volume is 210.2 Å³/cell. Its formation energy without anion corrections is -2970.8 meV/atom. As for the density: 6.79 g cm⁻³. The space-group type is C222 (21).

```
data_Dy3PuO8
_cell_length_a 6.031
_cell_length_b 6.031
_cell_length_c 6.751
_cell_angle_alpha 90.00
_cell_angle_beta 90.00
_cell_angle_gamma 121.13
_symmetry_space_group_name_H-M 'P 1'
_symmetry_Int_Tables_number 1
_symmetry_space_group_name_Hall 'P 1'
loop_
_atom_site_label
_atom_site_type_symbol
_atom_site_fract_x
_atom_site_fract_y
_atom_site_fract_z
Dy1 Dy 0.000 0.000 0.000
Dy2 Dy 0.000 0.500 0.772
Dy3 Dy 0.500 0.000 0.228
Pu1 Pu 0.000 0.000 0.500
O1 O 0.188 0.812 0.500
O2 O 0.197 0.253 0.727
O3 O 0.211 0.789 0.000
O4 O 0.253 0.197 0.273
O5 O 0.747 0.803 0.273
O6 O 0.789 0.211 0.000
O7 O 0.803 0.747 0.727
O8 O 0.812 0.188 0.500
```

***

> Which of these has the highest density?

Pm6Nd5